Record 1
The following is a PBE-GGA calculation of a geometry-optimized CoSbSe2 structure, from the Alexandria database.

The structure in POSCAR format:
```
CoSbSe2
1.0
2.9531 0.0000 0.0000
0.0000 2.9531 0.0000
0.0000 0.0000 9.7536
Co Sb Se
1 1 2
direct
0.0000 0.0000 0.0000
0.5000 0.5000 0.2046
0.0000 0.0000 0.5292
0.5000 0.5000 0.8732
```

- Space group: P4mm, No. 99

Record 2
The following is a PBE-GGA calculation of a geometry-optimized Co3SbSe structure, from the Alexandria database.

The structure in POSCAR format:
```
Co3SbSe
1.0
4.6946 0.0000 0.0000
0.0000 4.6946 0.0000
0.0000 0.0000 4.6946
Co Sb Se
3 1 1
direct
0.0000 0.0000 0.5000
0.0000 0.5000 0.0000
0.5000 0.0000 0.0000
0.0000 0.0000 0.0000
0.5000 0.5000 0.5000
```

- Energy above the lowest structure with this stoichiometry: 0.6685 eV per atom
- Space group: Pm-3m, No. 221

Record 3
The following is a PBE-GGA calculation of a geometry-optimized CoSb2Se structure, from the Alexandria database.

The structure in POSCAR format:
```
CoSb2Se
1.0
3.0868 0.0000 0.0000
0.0000 3.0868 0.0000
0.0000 0.0000 9.2726
Co Sb Se
1 2 1
direct
0.0000 0.0000 0.0000
0.0000 0.0000 0.5203
0.5000 0.5000 0.2056
0.5000 0.5000 0.8767
```

- Space group: P4mm, No. 99

Record 4
The following is a PBE-GGA calculation of a geometry-optimized CoSb2Se structure, from the Alexandria database.

The structure in POSCAR format:
```
CoSb2Se
1.0
-1.6061 2.3969 5.8242
1.6061 -2.3969 5.8242
1.6061 2.3969 -5.8242
Co Sb Se
1 2 1
direct
0.0000 0.0000 0.0000
0.1915 0.6915 0.5000
0.5212 0.5212 0.0000
0.8552 0.3552 0.5000
```

- Space group: Imm2, No. 44

Record 5
The following is a PBE-GGA calculation of a geometry-optimized CoSb2Se structure, from the Alexandria database.

The structure in POSCAR format:
```
CoSb2Se
1.0
3.9418 -3.8266 0.0000
3.9418 3.8266 0.0000
-0.8361 0.0000 3.0297
Co Sb Se
1 2 1
direct
0.0000 0.0000 0.0000
0.0000 0.5000 0.0000
0.5000 0.0000 0.0000
0.5000 0.5000 0.0000
```

- Space group: C2/m, No. 12

Record 6
The following is a PBE-GGA calculation of a geometry-optimized CoSb3Se structure, from the Alexandria database.

The structure in POSCAR format:
```
CoSb3Se
1.0
4.9477 0.0000 0.0000
0.0000 4.9477 0.0000
0.0000 0.0000 4.9477
Co Sb Se
1 3 1
direct
0.0000 0.0000 0.0000
0.0000 0.0000 0.5000
0.0000 0.5000 0.0000
0.5000 0.0000 0.0000
0.5000 0.5000 0.5000
```

- Energy above the lowest structure with this stoichiometry: 0.3030 eV per atom
- Space group: Pm-3m, No. 221

Record 7
The following is a PBE-GGA calculation of a geometry-optimized CoSb2Se structure, from the Alexandria database.

The structure in POSCAR format:
```
CoSb2Se
1.0
4.9913 0.0000 0.0000
0.0000 4.9913 0.0000
0.0000 0.0000 3.2951
Co Sb Se
1 2 1
direct
0.0000 0.0000 0.0000
0.0000 0.5000 0.5000
0.5000 0.0000 0.5000
0.5000 0.5000 0.0000
```

- Space group: P4/mmm, No. 123

Record 8
The following is a PBE-GGA calculation of a geometry-optimized CoSbSe2 structure, from the Alexandria database.

The structure in POSCAR format:
```
CoSbSe2
1.0
-1.9324 1.9324 5.9056
1.9324 -1.9324 5.9056
1.9324 1.9324 -5.9056
Co Sb Se
1 1 2
direct
0.0000 0.0000 0.0000
0.2500 0.7500 0.5000
0.5000 0.5000 0.0000
0.7500 0.2500 0.5000
```

- Space group: I-4m2, No. 119

| no. | formation energy without anion corrections (eV/atom) |
| --- | --- |
| 1 | 0.144 |
| 2 | 1.237 |
| 3 | 0.148 |
| 4 | 0.132 |
| 5 | 0.358 |
| 6 | 0.299 |
| 7 | 0.460 |
| 8 | 0.514 |